(1)
Here is crystalline Pm2EuZn at its relaxed geometry from Alexandria. Energies are from PBE.

Lattice parameters (Å, degrees): 5.489 5.489 5.489 60.00 60.00 60.00
Positions (direct):
1 Pm 0.250 0.250 0.250
2 Pm 0.750 0.750 0.750
3 Eu 0.000 0.000 0.000
4 Zn 0.500 0.500 0.500

Space-group type: Fm-3m (225)
ΔH_f (0 K) (eV per atom): 0.051



(2)
Here is crystalline Pm2EuZn at its relaxed geometry from Alexandria. Energies are from PBE.

Lattice parameters (Å, degrees): 4.962 4.962 4.756 90.00 90.00 90.00
Positions (direct):
1 Pm 0.000 0.500 0.000
2 Pm 0.500 0.000 0.000
3 Eu 0.000 0.000 0.500
4 Zn 0.500 0.500 0.500

Space-group type: P4/mmm (123)
ΔH_f (0 K) (eV per atom): 0.017



(3)
Here is crystalline Pm2EuZr at its relaxed geometry from Alexandria. Energies are from PBE.

Lattice parameters (Å, degrees): 3.535 3.535 10.328 90.00 90.00 90.00
Positions (direct):
1 Pm 0.000 0.000 0.218
2 Pm 0.000 0.000 0.782
3 Eu 0.500 0.500 0.500
4 Zr 0.500 0.500 0.000

Space-group type: P4/mmm (123)
ΔH_f (0 K) (eV per atom): 0.112



(4)
Here is crystalline Pm2EuZr at its relaxed geometry from Alexandria. Energies are from PBE.

Lattice parameters (Å, degrees): 5.041 5.041 4.919 90.00 90.00 90.00
Positions (direct):
1 Pm 0.000 0.500 0.000
2 Pm 0.500 0.000 0.000
3 Eu 0.000 0.000 0.500
4 Zr 0.500 0.500 0.500

Space-group type: P4/mmm (123)
ΔH_f (0 K) (eV per atom): 0.215



(5)
Here is crystalline PmEuZr at its relaxed geometry from Alexandria. Energies are from PBE.

Lattice parameters (Å, degrees): 8.163 8.163 8.163 155.50 155.50 34.92
Positions (direct):
1 Pm 0.000 0.000 0.000
2 Eu 0.307 0.307 0.000
3 Zr 0.644 0.644 0.000

Space-group type: I4mm (107)
ΔH_f (0 K) (eV per atom): 0.179



(6)
Here is crystalline PmEu2Zr at its relaxed geometry from Alexandria. Energies are from PBE.

Lattice parameters (Å, degrees): 12.731 12.731 12.731 15.54 15.54 15.54
Positions (direct):
1 Pm 0.000 0.000 0.000
2 Eu 0.417 0.417 0.417
3 Eu 0.583 0.583 0.583
4 Zr 0.500 0.500 0.500

Space-group type: R-3m (166)
ΔH_f (0 K) (eV per atom): 0.413



(7)
Here is crystalline Pr3Eu at its relaxed geometry from Alexandria. Energies are from PBE.

Lattice parameters (Å, degrees): 6.496 6.496 6.496 132.11 132.11 70.06
Positions (direct):
1 Pr 0.000 0.000 0.000
2 Pr 0.250 0.750 0.500
3 Pr 0.750 0.250 0.500
4 Eu 0.500 0.500 0.000

Space-group type: I4/mmm (139)
ΔH_f (0 K) (eV per atom): 0.051



(8)
Here is crystalline Pr3Eu at its relaxed geometry from Alexandria. Energies are from PBE.

Lattice parameters (Å, degrees): 5.285 5.285 5.285 90.00 90.00 90.00
Positions (direct):
1 Pr 0.000 0.000 0.500
2 Pr 0.000 0.500 0.000
3 Pr 0.500 0.000 0.000
4 Eu 0.500 0.500 0.500

Space-group type: Pm-3m (221)
ΔH_f (0 K) (eV per atom): 0.052



Q: ΔH_f (0 K) of number 8 (Pr3Eu)?
A: 0.052 eV per atom



Q: Which formula does entry 6 have?
A: PmEu2Zr



Q: Which of these has the highest ΔH_f (0 K)?
A: PmEu2Zr